Material: Cd2FeW
Method: DFT, PBE-GGA
State: optimized geometry Values from VASP.

Values from the calculation:
energy of formation from the pure elements: 338 meV/atom
V: 17.326 A^3/atom
crystal system: orthorhombic
ΔE to the lowest computed polymorph: 56 meV/atom

Cell and atoms, written as Quantum ESPRESSO input:
```
&SYSTEM
  ibrav = 0, nat = 8, ntyp = 3
/
ATOMIC_SPECIES
Cd 112.41 Cd.upf
Fe 55.84 Fe.upf
W 183.84 W.upf
CELL_PARAMETERS angstrom
3.206 0.000 0.000
0.000 4.564 0.000
0.000 0.000 9.472
ATOMIC_POSITIONS crystal
Cd 0.000 0.000 0.000
Cd 0.000 0.500 0.293
Cd 0.500 0.000 0.293
Cd 0.500 0.500 0.000
Fe 0.000 0.500 0.760
Fe 0.500 0.000 0.760
W 0.000 0.000 0.558
W 0.500 0.500 0.558
```